A plane-wave DFT calculation with PBE was carried out for a relaxed Ac4DyHo3Bi8 crystal.

Unit cell a=9.355 b=9.339 c=9.356 alpha=120.05 beta=120.00 gamma=90.00
Positions (direct):
1 Ac 0.500 0.000 0.500
2 Dy 0.000 0.500 0.000
3 Ho 0.500 0.500 0.500
4 Bi 0.242 0.726 0.485
5 Ho 0.500 0.500 0.000
6 Bi 0.242 0.726 0.984
7 Ac 0.500 0.000 0.000
8 Bi 0.742 0.726 0.484
9 Bi 0.758 0.274 0.016
10 Ac 0.000 0.000 0.500
11 Ac 0.000 0.000 0.000
12 Bi 0.742 0.726 0.984
13 Ho 0.000 0.500 0.500
14 Bi 0.758 0.274 0.515
15 Bi 0.258 0.274 0.516
16 Bi 0.258 0.274 0.016

## Properties
ΔE_f in kJ/mol of atoms: -87.3



A plane-wave DFT calculation with PBE was carried out for a relaxed CaP2S crystal.

Unit cell a=4.790 b=4.790 c=4.790 alpha=60.00 beta=60.00 gamma=60.00
Positions (direct):
1 S 0.000 0.000 0.000
2 Ca 0.500 0.500 0.500
3 P 0.250 0.250 0.250
4 P 0.750 0.750 0.750

## Properties
Excess energy over the best structure of this formula in the dataset in meV/atom: 318



A plane-wave DFT calculation with PBE was carried out for a relaxed KLiBe2 crystal.

Unit cell a=4.522 b=2.604 c=6.899 alpha=79.52 beta=90.00 gamma=90.00
Positions (direct):
1 Li 0.500 0.750 0.750
2 Be 0.000 0.545 0.626
3 Be 0.000 0.955 0.874
4 K 0.500 0.250 0.250

## Properties
Excess energy over the best structure of this formula in the dataset in meV/atom: 458
ΔE_f in kJ/mol of atoms: 61.2



A plane-wave DFT calculation with PBE was carried out for a relaxed CePrPbI crystal.

Unit cell a=5.591 b=5.591 c=5.591 alpha=60.00 beta=60.00 gamma=60.00
Each line ends with the local moment (μB).
Positions (direct):
1 I 0.000 0.000 0.000  -0.03
2 Ce 0.250 0.250 0.250  1.05
3 Pr 0.750 0.750 0.750  0.27
4 Pb 0.500 0.500 0.500  -0.04

## Properties
Final energy in eV per atom: -4.608



A plane-wave DFT calculation with PBE was carried out for a relaxed SnGeP2 crystal.

Unit cell a=4.733 b=4.733 c=4.733 alpha=60.00 beta=60.00 gamma=60.00
Positions (direct):
1 Sn 0.500 0.500 0.500
2 Ge 0.000 0.000 0.000
3 P 0.750 0.750 0.750
4 P 0.250 0.250 0.250

## Properties
Excess energy over the best structure of this formula in the dataset in meV/atom: 397
ΔE_f in kJ/mol of atoms: 42.9



A plane-wave DFT calculation with PBE was carried out for a relaxed SrMn2Ag crystal.

Unit cell a=4.631 b=3.233 c=6.284 alpha=76.71 beta=90.00 gamma=90.00
Each line ends with the local moment (μB).
Positions (direct):
1 Mn 0.000 0.556 0.567  3.82
2 Ag 0.500 0.750 0.750  0.03
3 Sr 0.500 0.250 0.250  -0.03
4 Mn 0.000 0.944 0.933  3.82

## Properties
ΔE_f in kJ/mol of atoms: 55.6



A plane-wave DFT calculation with PBE was carried out for a relaxed ReMoAs2 crystal.

Unit cell a=4.319 b=4.319 c=5.254 alpha=78.03 beta=78.03 gamma=40.75
Positions (direct):
1 As 0.502 0.502 0.495
2 As 0.998 0.998 0.005
3 Mo 0.750 0.750 0.750
4 Re 0.250 0.250 0.250

## Properties
Excess energy over the best structure of this formula in the dataset in meV/atom: 210
ΔE_f in kJ/mol of atoms: 24.5



A plane-wave DFT calculation with PBE was carried out for a relaxed Ac3UTe6 crystal.

Unit cell a=4.629 b=13.555 c=13.126 alpha=108.05 beta=90.00 gamma=90.00
Each line ends with the local moment (μB).
Positions (direct):
1 Te 0.250 0.380 0.517  0.00
2 Ac 0.250 0.926 0.841  0.01
3 Ac 0.250 0.170 0.588  0.01
4 Te 0.250 0.248 0.178  -0.01
5 Te 0.250 0.708 0.233  -0.03
6 U 0.750 0.686 0.042  2.79
7 Te 0.750 0.620 0.483  0.00
8 Te 0.750 0.113 0.917  -0.02
9 Te 0.250 0.926 0.594  0.00
10 Te 0.750 0.292 0.767  -0.03
11 Ac 0.750 0.830 0.412  0.01
12 Te 0.750 0.752 0.822  -0.01
13 Ac 0.750 0.508 0.684  0.00
14 Ac 0.750 0.074 0.159  0.01
15 U 0.250 0.314 0.958  2.79
16 Te 0.750 0.074 0.406  0.00
17 Te 0.250 0.887 0.083  -0.02
18 Te 0.750 0.461 0.102  -0.05
19 Ac 0.250 0.492 0.316  0.00
20 Te 0.250 0.539 0.898  -0.05

## Properties
Excess energy over the best structure of this formula in the dataset in meV/atom: 0